No. 1
Crystalline Pd3Pt3Rh at its relaxed geometry, computed with GGA-PBE.

abc: 8.0015 8.0015 6.2982
angles: 90.00 90.00 120.00
Space group R3m (No. 160, hexagonal axes)
Symmetry-distinct sites (fractional):
1 Pd 0.0956 0.5478 0.0000 (multiplicity 9)
2 Pt 0.0380 0.5190 0.4142 (multiplicity 9)
3 Rh 0.0000 0.0000 0.9988 (multiplicity 3)

Total DFT energy (no corrections) = -117.61 eV per cell
Formation energy = 0.264 eV per atom
Distance to the lowest polymorph of the same formula = 0.268 eV/atom
N(E_F) = 30.39 states/eV/cell

=====

No. 2
Crystalline PdPtRh3 at its relaxed geometry, computed with GGA-PBE.

abc: 5.3673 5.3673 19.4945
angles: 90.00 90.00 120.00
Space group R-3m (No. 166, hexagonal axes)
Symmetry-distinct sites (fractional):
1 Pd 0.0000 0.0000 0.1659 (multiplicity 6)
2 Pt 0.0000 0.0000 0.3997 (multiplicity 6)
3 Rh 0.0027 0.5014 0.3889 (multiplicity 18)

Total DFT energy (no corrections) = -191.82 eV per cell
Formation energy = 0.264 eV per atom
Distance to the lowest polymorph of the same formula = 0.241 eV/atom
N(E_F) = 45.46 states/eV/cell